# CaCrIrRu2 | the Alexandria database | GGA-PBE | relaxed
# total DFT energy (no corrections) = -6.901 eV per atom
# N(E_F) = 1.183 states/eV per atom
# ΔH_f (0 K) = 907 meV/atom
data_CaCrIrRu2
_space_group_name_H-M_alt 'P 4/m m m'
_space_group_IT_number 123
_space_group_name_Hall '-P 4 2'
_cell_length_a 4.7879
_cell_length_b 4.7879
_cell_length_c 4.6922
_cell_angle_alpha 90.00
_cell_angle_beta 90.00
_cell_angle_gamma 90.00
loop_
_atom_site_label
_atom_site_type_symbol
_atom_site_fract_x
_atom_site_fract_y
_atom_site_fract_z
Ca1 Ca 0.0000 0.0000 0.0000
Cr1 Cr 0.5000 0.5000 0.0000
Ir1 Ir 0.5000 0.5000 0.5000
Ru1 Ru 0.0000 0.5000 0.5000


# CaScCrIr2 | the Alexandria database | GGA-PBE | relaxed
# total DFT energy (no corrections) = -6.411 eV per atom
# N(E_F) = 0.566 states/eV per atom
# ΔH_f (0 K) = 725 meV/atom
data_CaScCrIr2
_space_group_name_H-M_alt 'P 4/m m m'
_space_group_IT_number 123
_space_group_name_Hall '-P 4 2'
_cell_length_a 4.7958
_cell_length_b 4.7958
_cell_length_c 4.8629
_cell_angle_alpha 90.00
_cell_angle_beta 90.00
_cell_angle_gamma 90.00
loop_
_atom_site_label
_atom_site_type_symbol
_atom_site_fract_x
_atom_site_fract_y
_atom_site_fract_z
Ca1 Ca 0.0000 0.0000 0.0000
Sc1 Sc 0.5000 0.5000 0.5000
Cr1 Cr 0.5000 0.5000 0.0000
Ir1 Ir 0.0000 0.5000 0.5000


# CaCr2SnIr | the Alexandria database | GGA-PBE | relaxed
# total DFT energy (no corrections) = -5.402 eV per atom
# N(E_F) = 0.642 states/eV per atom
# ΔH_f (0 K) = 1420 meV/atom
data_CaCr2SnIr
_space_group_name_H-M_alt 'P 4/m m m'
_space_group_IT_number 123
_space_group_name_Hall '-P 4 2'
_cell_length_a 4.9808
_cell_length_b 4.9808
_cell_length_c 5.6568
_cell_angle_alpha 90.00
_cell_angle_beta 90.00
_cell_angle_gamma 90.00
loop_
_atom_site_label
_atom_site_type_symbol
_atom_site_fract_x
_atom_site_fract_y
_atom_site_fract_z
Ca1 Ca 0.0000 0.0000 0.0000
Cr1 Cr 0.0000 0.5000 0.5000
Sn1 Sn 0.0000 0.0000 0.5000
Ir1 Ir 0.5000 0.5000 0.0000